# 1
DFT (PBE with a Hubbard U) results for a geometry-optimized NbV2CdO8 structure.

Structure (POSCAR):
```
NbV2CdO8
1.0
-3.4555 3.4555 3.1510
3.4555 -3.4555 3.1510
3.4555 3.4555 -3.1510
Nb V Cd O
1 2 1 8
direct
0.0000 0.0000 0.0000
0.2500 0.7500 0.5000
0.5000 0.5000 0.0000
0.7500 0.2500 0.5000
0.0812 0.3679 0.2868
0.0812 0.7944 0.7132
0.1274 0.3083 0.8191
0.2056 0.9188 0.2868
0.4892 0.3083 0.1809
0.6321 0.9188 0.7132
0.6917 0.5108 0.8191
0.6917 0.8726 0.1809
```

Output
**Electronic total energy**: -7.31 eV/atom
**Mass density**: 4.80 g cm⁻³
**N(E_F)**: 0.0 states/eV per cell
**Magnetization**: 0.084 μB/atom

***

# 2
DFT (PBE with a Hubbard U) results for a geometry-optimized NbCdWO6 structure.

Structure (POSCAR):
```
NbCdWO6
1.0
4.9668 0.0000 0.0000
0.0000 4.9668 0.0000
0.0000 0.0000 9.4843
Nb Cd W O
2 2 2 12
direct
0.0000 0.0000 0.0000
0.5000 0.5000 0.5000
0.0000 0.0000 0.6711
0.5000 0.5000 0.1711
0.0000 0.0000 0.3418
0.5000 0.5000 0.8418
0.1764 0.1764 0.1712
0.2130 0.2130 0.4767
0.2128 0.2128 0.8594
0.2872 0.7128 0.3594
0.2870 0.7130 0.9767
0.3236 0.6764 0.6712
0.6764 0.3236 0.6712
0.7128 0.2872 0.3594
0.7130 0.2870 0.9767
0.7870 0.7870 0.4767
0.7872 0.7872 0.8594
0.8236 0.8236 0.1712
```

Output
**Electronic total energy**: -7.32 eV/atom
**Mass density**: 6.89 g cm⁻³
**Magnetization**: 0.111 μB/atom